Entry 1:
The following is a DFT calculation (PBE-GGA) of a relaxed Mg3TiPd12 crystal.

CIF file:
```
data_Mg3TiPd12
_chemical_formula_sum 'Mg3 Ti1 Pd12'
_cell_length_a 3.961
_cell_length_b 3.961
_cell_length_c 15.825
_cell_angle_alpha 90.00
_cell_angle_beta 90.00
_cell_angle_gamma 90.00
_symmetry_space_group_name_H-M 'P 4/m m m'
_symmetry_Int_Tables_number 123
_symmetry_space_group_name_Hall '-P 4 2'
loop_
_atom_site_label
_atom_site_type_symbol
_atom_site_fract_x
_atom_site_fract_y
_atom_site_fract_z
Mg1 Mg 0.000 0.000 0.000
Mg2 Mg 0.000 0.000 0.250
Ti1 Ti 0.000 0.000 0.500
Pd1 Pd 0.000 0.500 0.126
Pd2 Pd 0.000 0.500 0.379
Pd3 Pd 0.500 0.500 0.000
Pd4 Pd 0.500 0.500 0.252
Pd5 Pd 0.500 0.500 0.500
```

Results
The value obtained for the density of states at the Fermi level is 20.853 states/eV/cell. The final energy is -83.3 eV per cell. Its formation enthalpy at 0 K is -50 kJ per mole of atoms.

---

Entry 2:
The following is a DFT calculation (PBE-GGA) of a relaxed MgTi2Pd9 crystal.

CIF file:
```
data_MgTi2Pd9
_chemical_formula_sum 'Mg1 Ti2 Pd9'
_cell_length_a 3.944
_cell_length_b 3.944
_cell_length_c 11.798
_cell_angle_alpha 90.00
_cell_angle_beta 90.00
_cell_angle_gamma 90.00
_symmetry_space_group_name_H-M 'P 4/m m m'
_symmetry_Int_Tables_number 123
_symmetry_space_group_name_Hall '-P 4 2'
loop_
_atom_site_label
_atom_site_type_symbol
_atom_site_fract_x
_atom_site_fract_y
_atom_site_fract_z
Mg1 Mg 0.000 0.000 0.000
Ti1 Ti 0.000 0.000 0.329
Pd1 Pd 0.000 0.500 0.173
Pd2 Pd 0.000 0.500 0.500
Pd3 Pd 0.500 0.500 0.000
Pd4 Pd 0.500 0.500 0.337
```

Results
The value obtained for the density of states at the Fermi level is 10.455 states/eV/cell. The final energy is -71.4 eV per cell. Its formation enthalpy at 0 K is -59 kJ per mole of atoms.

---

Entry 3:
The following is a DFT calculation (PBE-GGA) of a relaxed MgTiPd3 crystal.

CIF file:
```
data_MgTiPd3
_chemical_formula_sum 'Mg1 Ti1 Pd3'
_cell_length_a 4.674
_cell_length_b 4.674
_cell_length_c 4.674
_cell_angle_alpha 90.00
_cell_angle_beta 90.00
_cell_angle_gamma 90.00
_symmetry_space_group_name_H-M 'P m -3 m'
_symmetry_Int_Tables_number 221
_symmetry_space_group_name_Hall '-P 4 2 3'
loop_
_atom_site_label
_atom_site_type_symbol
_atom_site_fract_x
_atom_site_fract_y
_atom_site_fract_z
Mg1 Mg 0.000 0.000 0.000
Ti1 Ti 0.500 0.500 0.500
Pd1 Pd 0.000 0.500 0.500
```

Results
The value obtained for the density of states at the Fermi level is 3.713 states/eV/cell. The final energy is -24.1 eV per cell. Its formation enthalpy at 0 K is 18 kJ per mole of atoms.